A relaxed SrFeAg2 crystal. Source: Alexandria, functional GGA-PBE.

Structure (CIF):
```
data_SrFeAg2
_chemical_formula_sum 'Sr1 Fe1 Ag2'
_space_group_name_H-M_alt 'P m m 2'
_space_group_IT_number 25
_space_group_name_Hall 'P 2 -2'
_cell_length_a 3.6621
_cell_length_b 4.0912
_cell_length_c 6.4405
_cell_angle_alpha 90.00
_cell_angle_beta 90.00
_cell_angle_gamma 90.00
loop_
_atom_site_label
_atom_site_fract_x
_atom_site_fract_y
_atom_site_fract_z
Sr1 0.0000 0.0000 0.0000
Fe1 0.0000 0.5000 0.4275
Ag1 0.5000 0.0000 0.4261
Ag2 0.5000 0.5000 0.7354
```

Energy above the lowest structure with this stoichiometry (eV/atom): 0.176
Calculated formation energy (eV/atom): 0.36
V (Å³ per cell): 96
Raw total energy (eV per atom): -3.605